(1)
A relaxed AcScGe3 crystal, computed with PBE.

Values from the calculation:
VASP energy = -5.261 eV/atom
DFT formation energy = -0.40 eV/atom

Unit cell a=4.6295 b=4.6295 c=11.5964 alpha=90.00 beta=90.00 gamma=90.00
Closest atoms and distances in Å follow each position.
Positions (direct):
1 Ac 0.0000 0.0000 0.0000  8 Ge 3.26-3.35
2 Ac 0.5000 0.5000 0.5000  8 Ge 3.26-3.35
3 Sc 0.0000 0.0000 0.6736  5 Ge 2.71-2.76
4 Sc 0.5000 0.5000 0.1736  5 Ge 2.71-2.76
5 Ge 0.0000 0.0000 0.4401  1 Sc 2.71, 4 Ge 2.81
6 Ge 0.0000 0.5000 0.3025  2 Sc 2.76, 2 Ge 2.81
7 Ge 0.0000 0.5000 0.8025  2 Sc 2.76, 2 Ge 2.81
8 Ge 0.5000 0.0000 0.3025  2 Sc 2.76, 2 Ge 2.81
9 Ge 0.5000 0.0000 0.8025  2 Sc 2.76, 2 Ge 2.81
10 Ge 0.5000 0.5000 0.9401  1 Sc 2.71, 4 Ge 2.81

(2)
A relaxed RbSn2Hg crystal, computed with PBE.

Values from the calculation:
VASP energy = -2.307 eV/atom
DFT formation energy = 0.01 eV/atom

Unit cell a=5.6179 b=5.6179 c=21.0464 alpha=90.00 beta=90.00 gamma=90.00
Closest atoms and distances in Å follow each position.
Positions (direct):
1 Rb 0.0000 0.0000 0.0000  4 Sn 3.84, 4 Hg 3.97
2 Rb 0.0000 0.5000 0.2500  4 Sn 3.84, 4 Hg 3.97
3 Rb 0.5000 0.0000 0.7500  4 Sn 3.84, 4 Hg 3.97
4 Rb 0.5000 0.5000 0.5000  4 Sn 3.84, 4 Hg 3.97
5 Sn 0.0699 0.2500 0.6250  2 Sn 2.92, 2 Hg 3.01
6 Sn 0.2500 0.5699 0.8750  2 Sn 2.92, 2 Hg 3.01
7 Sn 0.2500 0.9301 0.3750  2 Sn 2.92, 2 Hg 3.01
8 Sn 0.4301 0.2500 0.1250  2 Sn 2.92, 2 Hg 3.01
9 Sn 0.5699 0.7500 0.1250  2 Sn 2.92, 2 Hg 3.01
10 Sn 0.7500 0.0699 0.3750  2 Sn 2.92, 2 Hg 3.01
11 Sn 0.7500 0.4301 0.8750  2 Sn 2.92, 2 Hg 3.01
12 Sn 0.9301 0.7500 0.6250  2 Sn 2.92, 2 Hg 3.01
13 Hg 0.0000 0.0000 0.5000  4 Sn 3.01
14 Hg 0.0000 0.5000 0.7500  4 Sn 3.01
15 Hg 0.5000 0.0000 0.2500  4 Sn 3.01
16 Hg 0.5000 0.5000 0.0000  4 Sn 3.01

(3)
A relaxed InSn2 crystal, computed with PBE.

Values from the calculation:
VASP energy = -3.531 eV/atom
DFT formation energy = 0.05 eV/atom

Unit cell a=4.0584 b=4.0584 c=10.0373 alpha=90.00 beta=90.00 gamma=90.00
Closest atoms and distances in Å follow each position.
Positions (direct):
1 In 0.0000 0.0000 0.0000  10 Sn 3.31-3.34
2 In 0.5000 0.5000 0.5000  10 Sn 3.31-3.34
3 Sn 0.0000 0.0000 0.3296  5 Sn 3.29-3.42, 5 In 3.31-3.34
4 Sn 0.0000 0.0000 0.6704  5 Sn 3.29-3.42, 5 In 3.31-3.34
5 Sn 0.5000 0.5000 0.1704  5 Sn 3.29-3.42, 5 In 3.31-3.34
6 Sn 0.5000 0.5000 0.8296  5 Sn 3.29-3.42, 5 In 3.31-3.34

(4)
A relaxed LiZrBe3 crystal, computed with PBE.

Values from the calculation:
VASP energy = -4.021 eV/atom
DFT formation energy = 0.31 eV/atom

Unit cell a=3.9156 b=3.9156 c=3.9156 alpha=90.00 beta=90.00 gamma=90.00
Closest atoms and distances in Å follow each position.
Positions (direct):
1 Li 0.0000 0.0000 0.0000  6 Be 1.96
2 Zr 0.5000 0.5000 0.5000  12 Be 2.77
3 Be 0.0000 0.0000 0.5000  2 Li 1.96
4 Be 0.0000 0.5000 0.0000  2 Li 1.96
5 Be 0.5000 0.0000 0.0000  2 Li 1.96

(5)
A relaxed Lu4Zn2C crystal, computed with PBE.

Values from the calculation:
VASP energy = -4.486 eV/atom
DFT formation energy = -0.22 eV/atom

Unit cell a=4.7234 b=4.7234 c=14.0093 alpha=90.00 beta=90.00 gamma=90.00
Closest atoms and distances in Å follow each position.
Positions (direct):
1 Lu 0.0000 0.0000 0.1721  1 C 2.41
2 Lu 0.0000 0.0000 0.8279  1 C 2.41
3 Lu 0.0000 0.5000 0.0000  2 C 2.36
4 Lu 0.0000 0.5000 0.5000  2 C 2.36
5 Lu 0.5000 0.0000 0.0000  2 C 2.36
6 Lu 0.5000 0.0000 0.5000  2 C 2.36
7 Lu 0.5000 0.5000 0.3279  1 C 2.41
8 Lu 0.5000 0.5000 0.6721  1 C 2.41
9 Zn 0.0000 0.0000 0.3739  5 Lu 2.83-2.95
10 Zn 0.0000 0.0000 0.6261  5 Lu 2.83-2.95
11 Zn 0.5000 0.5000 0.1261  5 Lu 2.83-2.95
12 Zn 0.5000 0.5000 0.8739  5 Lu 2.83-2.95
13 C 0.0000 0.0000 0.0000  6 Lu 2.36-2.41
14 C 0.5000 0.5000 0.5000  6 Lu 2.36-2.41

(6)
A relaxed Ho3ErSc2Te6 crystal, computed with PBE.

Values from the calculation:
VASP energy = -5.340 eV/atom
Formation energy without anion corrections = -1.189 eV per atom

Unit cell a=9.5661 b=9.5661 c=8.5803 alpha=102.99 beta=102.99 gamma=25.80
Closest atoms and distances in Å follow each position.
Positions (direct):
1 Ho 0.0000 0.0000 0.0000  6 Te 3.03-3.08
2 Ho 0.3371 0.3371 0.6705  6 Te 3.04-3.09
3 Ho 0.6629 0.6629 0.3295  6 Te 3.04-3.09
4 Er 0.0000 0.0000 0.5000  6 Te 3.02-3.05
5 Sc 0.3334 0.3334 0.1661  6 Te 2.94-2.99
6 Sc 0.6666 0.6666 0.8339  6 Te 2.94-2.99
7 Te 0.1682 0.1682 0.5916  2 Sc 2.99, 1 Er 3.05, 3 Ho 3.07-3.09
8 Te 0.1698 0.1698 0.0759  3 Sc 2.97, 3 Ho 3.07-3.08
9 Te 0.4951 0.4951 0.2486  1 Sc 2.94, 2 Er 3.02, 3 Ho 3.03-3.04
10 Te 0.5049 0.5049 0.7514  1 Sc 2.94, 2 Er 3.02, 3 Ho 3.03-3.04
11 Te 0.8302 0.8302 0.9241  3 Sc 2.97, 3 Ho 3.07-3.08
12 Te 0.8318 0.8318 0.4084  2 Sc 2.99, 1 Er 3.05, 3 Ho 3.07-3.09

Q: Look up the VASP energy of the first one.
A: -5.261 eV/atom

Q: What is the VASP energy in the fourth record?
A: -4.021 eV/atom

Copy entry 1 word for word.
A relaxed AcScGe3 crystal, computed with PBE.

Values from the calculation:
VASP energy = -5.261 eV/atom
DFT formation energy = -0.40 eV/atom

Unit cell a=4.6295 b=4.6295 c=11.5964 alpha=90.00 beta=90.00 gamma=90.00
Closest atoms and distances in Å follow each position.
Positions (direct):
1 Ac 0.0000 0.0000 0.0000  8 Ge 3.26-3.35
2 Ac 0.5000 0.5000 0.5000  8 Ge 3.26-3.35
3 Sc 0.0000 0.0000 0.6736  5 Ge 2.71-2.76
4 Sc 0.5000 0.5000 0.1736  5 Ge 2.71-2.76
5 Ge 0.0000 0.0000 0.4401  1 Sc 2.71, 4 Ge 2.81
6 Ge 0.0000 0.5000 0.3025  2 Sc 2.76, 2 Ge 2.81
7 Ge 0.0000 0.5000 0.8025  2 Sc 2.76, 2 Ge 2.81
8 Ge 0.5000 0.0000 0.3025  2 Sc 2.76, 2 Ge 2.81
9 Ge 0.5000 0.0000 0.8025  2 Sc 2.76, 2 Ge 2.81
10 Ge 0.5000 0.5000 0.9401  1 Sc 2.71, 4 Ge 2.81

Q: Among the records above, which one has the highest VASP energy?
A: RbSn2Hg